{
  "formula": "Sn3Rh",
  "functional": "PBE-GGA",
  "state": "optimized geometry",
  "m_tot_mub_per_atom": 0.000,
  "n_ef_per_ev_cell": 10.8,
  "ef_ev_per_fu": -0.94,
  "cell": [[-4.312, 2.970, 0.154], [-0.046, -0.667, 11.575], [6.582, 9.528, 0.575]],
  "species": ["Sn", "Sn", "Sn", "Sn", "Sn", "Sn", "Sn", "Sn", "Sn", "Sn", "Sn", "Sn", "Sn", "Sn", "Sn", "Sn", "Sn", "Sn", "Sn", "Sn", "Sn", "Sn", "Sn", "Sn", "Rh", "Rh", "Rh", "Rh", "Rh", "Rh", "Rh", "Rh"],
  "fractional_positions": [[0.991, 0.269, 0.825], [0.991, 0.731, 0.175], [0.491, 0.675, 0.769], [0.491, 0.325, 0.231], [0.509, 0.231, 0.675], [0.509, 0.769, 0.325], [0.009, 0.825, 0.731], [0.009, 0.175, 0.269], [0.506, 0.391, 0.928], [0.506, 0.609, 0.072], [0.006, 0.572, 0.891], [0.006, 0.428, 0.109], [0.994, 0.109, 0.572], [0.994, 0.891, 0.428], [0.494, 0.928, 0.609], [0.494, 0.072, 0.391], [0.729, 0.020, 0.865], [0.729, 0.980, 0.135], [0.229, 0.635, 0.520], [0.229, 0.365, 0.480], [0.771, 0.480, 0.635], [0.771, 0.520, 0.365], [0.271, 0.865, 0.980], [0.271, 0.135, 0.020], [0.769, 0.778, 0.947], [0.769, 0.222, 0.053], [0.269, 0.553, 0.278], [0.269, 0.447, 0.722], [0.731, 0.722, 0.553], [0.731, 0.278, 0.447], [0.231, 0.947, 0.222], [0.231, 0.053, 0.778]]
}

***

{
  "formula": "SnRh5",
  "functional": "PBE-GGA",
  "state": "optimized geometry",
  "m_tot_mub_per_atom": 0.000,
  "n_ef_per_ev_cell": 8.0,
  "ef_ev_per_fu": -0.94,
  "cell": [[3.934, 0.000, 0.000], [0.000, 3.915, 0.000], [0.000, -1.957, 5.876]],
  "species": ["Rh", "Rh", "Rh", "Rh", "Rh", "Sn"],
  "fractional_positions": [[0.500, 0.828, 0.656], [0.000, 0.669, 0.338], [0.500, 0.500, 0.000], [0.000, 0.331, 0.662], [0.500, 0.172, 0.344], [0.000, 0.000, 0.000]]
}

***

{
  "formula": "SnRh",
  "functional": "PBE-GGA",
  "state": "optimized geometry",
  "m_tot_mub_per_atom": 0.000,
  "n_ef_per_ev_cell": 0.7,
  "ef_ev_per_fu": -0.59,
  "cell": [[-0.150, -3.160, -0.696], [2.592, -1.520, -1.230], [0.285, -2.472, 3.655]],
  "species": ["Rh", "Sn"],
  "fractional_positions": [[0.168, 0.582, 0.616], [0.168, 0.082, 0.116]]
}

***

{
  "formula": "Sn3Rh",
  "functional": "PBE-GGA",
  "state": "optimized geometry",
  "m_tot_mub_per_atom": 0.000,
  "n_ef_per_ev_cell": 2.2,
  "ef_ev_per_fu": -0.61,
  "cell": [[-3.036, 1.473, 0.023], [-2.221, -4.521, -3.580], [1.545, -0.764, 5.341]],
  "species": ["Rh", "Sn", "Sn", "Sn"],
  "fractional_positions": [[0.000, 0.083, 0.000], [0.311, 0.642, 0.622], [0.500, 0.421, 0.000], [0.689, 0.021, 0.378]]
}

***

{
  "formula": "SnRh",
  "functional": "PBE-GGA",
  "state": "optimized geometry",
  "m_tot_mub_per_atom": 0.000,
  "n_ef_per_ev_cell": 7.8,
  "ef_ev_per_fu": 0.52,
  "cell": [[7.259, 0.000, 0.000], [0.000, 7.259, 0.000], [0.000, 0.000, 7.259]],
  "species": ["Sn", "Sn", "Sn", "Sn", "Sn", "Sn", "Rh", "Rh", "Rh", "Rh", "Rh", "Rh"],
  "fractional_positions": [[0.250, 0.000, 0.500], [0.750, 0.000, 0.500], [0.000, 0.500, 0.250], [0.000, 0.500, 0.750], [0.500, 0.250, 0.000], [0.500, 0.750, 0.000], [0.250, 0.500, 0.000], [0.750, 0.500, 0.000], [0.500, 0.000, 0.250], [0.500, 0.000, 0.750], [0.000, 0.250, 0.500], [0.000, 0.750, 0.500]]
}

***

{
  "formula": "SnRh",
  "functional": "PBE-GGA",
  "state": "optimized geometry",
  "m_tot_mub_per_atom": 0.000,
  "n_ef_per_ev_cell": 2.8,
  "ef_ev_per_fu": -0.94,
  "cell": [[5.201, 0.000, 0.000], [0.000, 5.201, 0.000], [0.000, 0.000, 5.201]],
  "species": ["Sn", "Sn", "Sn", "Sn", "Rh", "Rh", "Rh", "Rh"],
  "fractional_positions": [[0.840, 0.840, 0.840], [0.660, 0.160, 0.340], [0.340, 0.660, 0.160], [0.160, 0.340, 0.660], [0.145, 0.145, 0.145], [0.355, 0.855, 0.645], [0.645, 0.355, 0.855], [0.855, 0.645, 0.355]]
}

***

{
  "formula": "SnRh",
  "functional": "PBE-GGA",
  "state": "optimized geometry",
  "m_tot_mub_per_atom": 0.000,
  "n_ef_per_ev_cell": 3.5,
  "ef_ev_per_fu": -0.32,
  "cell": [[5.386, 0.000, 0.000], [0.000, 5.386, 0.000], [0.000, 0.000, 5.386]],
  "species": ["Sn", "Sn", "Sn", "Sn", "Rh", "Rh", "Rh", "Rh"],
  "fractional_positions": [[0.500, 0.500, 0.500], [0.500, 0.000, 0.000], [0.000, 0.500, 0.000], [0.000, 0.000, 0.500], [0.000, 0.000, 0.000], [0.000, 0.500, 0.500], [0.500, 0.000, 0.500], [0.500, 0.500, 0.000]]
}

***

{
  "formula": "SnRh",
  "functional": "PBE-GGA",
  "state": "optimized geometry",
  "m_tot_mub_per_atom": 0.000,
  "n_ef_per_ev_cell": 3.0,
  "ef_ev_per_fu": -0.02,
  "cell": [[8.148, 0.000, 0.000], [0.000, 8.148, 0.000], [0.000, 0.000, 3.012]],
  "species": ["Sn", "Sn", "Sn", "Sn", "Rh", "Rh", "Rh", "Rh"],
  "fractional_positions": [[0.310, 0.310, 0.000], [0.810, 0.190, 0.500], [0.190, 0.810, 0.500], [0.690, 0.690, 0.000], [0.375, 0.625, 0.000], [0.875, 0.875, 0.500], [0.125, 0.125, 0.500], [0.625, 0.375, 0.000]]
}

***

{
  "formula": "Sn7Rh3",
  "functional": "PBE-GGA",
  "state": "optimized geometry",
  "m_tot_mub_per_atom": 0.000,
  "n_ef_per_ev_cell": 11.3,
  "ef_ev_per_fu": -3.77,
  "cell": [[7.756, 0.000, -2.742], [-3.878, 6.717, -2.742], [0.000, 0.000, 8.227]],
  "species": ["Sn", "Sn", "Sn", "Sn", "Sn", "Sn", "Sn", "Sn", "Sn", "Sn", "Sn", "Sn", "Sn", "Sn", "Rh", "Rh", "Rh", "Rh", "Rh", "Rh"],
  "fractional_positions": [[0.250, 0.500, 0.750], [0.750, 0.500, 0.250], [0.500, 0.750, 0.250], [0.500, 0.250, 0.750], [0.250, 0.750, 0.500], [0.750, 0.250, 0.500], [0.000, 0.328, 0.000], [0.672, 0.672, 0.672], [0.000, 0.000, 0.672], [0.672, 0.000, 0.000], [0.328, 0.000, 0.000], [0.000, 0.000, 0.328], [0.328, 0.328, 0.328], [0.000, 0.672, 0.000], [0.000, 0.343, 0.343], [0.000, 0.657, 0.657], [0.343, 0.343, 0.000], [0.657, 0.657, 0.000], [0.657, 0.000, 0.657], [0.343, 0.000, 0.343]]
}

***

{
  "formula": "SnRh4",
  "functional": "PBE-GGA",
  "state": "optimized geometry",
  "m_tot_mub_per_atom": 0.714,
  "n_ef_per_ev_cell": 10.8,
  "ef_ev_per_fu": 7.33,
  "polymorph_energy_ev_per_atom": 1.574,
  "cell": [[4.791, 0.000, 0.000], [0.000, 4.791, 0.000], [0.000, 0.000, 4.791]],
  "species": ["Rh", "Rh", "Rh", "Rh", "Sn"],
  "fractional_positions": [[0.000, 0.000, 0.000], [0.500, 0.000, 0.500], [0.000, 0.500, 0.500], [0.500, 0.500, 0.000], [0.500, 0.500, 0.500]]
}

***

{
  "formula": "Sn5Rh2",
  "functional": "PBE-GGA",
  "state": "optimized geometry",
  "m_tot_mub_per_atom": 0.000,
  "n_ef_per_ev_cell": 5.4,
  "ef_ev_per_fu": -2.12,
  "cell": [[-4.404, -5.039, -1.076], [1.597, -0.024, -6.423], [6.769, -2.078, 3.369]],
  "species": ["Sn", "Sn", "Sn", "Sn", "Sn", "Sn", "Sn", "Sn", "Sn", "Sn", "Rh", "Rh", "Rh", "Rh"],
  "fractional_positions": [[0.203, 0.464, 0.178], [0.026, 0.036, 0.822], [0.178, 0.717, 0.580], [0.598, 0.783, 0.420], [0.822, 0.283, 0.420], [0.402, 0.217, 0.580], [0.974, 0.964, 0.178], [0.797, 0.536, 0.822], [0.556, 0.250, 0.000], [0.444, 0.750, 0.000], [0.155, 0.402, 0.778], [0.378, 0.098, 0.222], [0.845, 0.598, 0.222], [0.622, 0.902, 0.778]]
}

***

{
  "formula": "SnRh3",
  "functional": "PBE-GGA",
  "state": "optimized geometry",
  "m_tot_mub_per_atom": 0.000,
  "n_ef_per_ev_cell": 7.7,
  "ef_ev_per_fu": -1.05,
  "cell": [[4.515, 0.000, 0.000], [0.000, 5.644, 0.000], [0.000, -2.822, 4.888]],
  "species": ["Rh", "Rh", "Rh", "Rh", "Rh", "Rh", "Sn", "Sn"],
  "fractional_positions": [[0.750, 0.837, 0.163], [0.750, 0.327, 0.163], [0.750, 0.837, 0.673], [0.250, 0.163, 0.837], [0.250, 0.673, 0.837], [0.250, 0.163, 0.327], [0.250, 0.667, 0.333], [0.750, 0.333, 0.667]]
}

***

{
  "formula": "SnRh",
  "functional": "PBE-GGA",
  "state": "optimized geometry",
  "m_tot_mub_per_atom": 0.000,
  "n_ef_per_ev_cell": 6.6,
  "ef_ev_per_fu": -0.61,
  "cell": [[-4.279, 0.030, 3.032], [-2.922, -6.942, -4.054], [3.491, -4.371, 4.969]],
  "species": ["Sn", "Sn", "Sn", "Sn", "Sn", "Sn", "Sn", "Sn", "Rh", "Rh", "Rh", "Rh", "Rh", "Rh", "Rh", "Rh"],
  "fractional_positions": [[0.741, 0.081, 0.082], [0.241, 0.419, 0.918], [0.259, 0.581, 0.418], [0.759, 0.919, 0.582], [0.244, 0.860, 0.912], [0.744, 0.640, 0.088], [0.756, 0.360, 0.588], [0.256, 0.140, 0.412], [0.255, 0.142, 0.063], [0.755, 0.358, 0.937], [0.745, 0.642, 0.437], [0.245, 0.858, 0.563], [0.518, 0.633, 0.773], [0.018, 0.867, 0.227], [0.482, 0.133, 0.727], [0.982, 0.367, 0.273]]
}

***

{
  "formula": "Sn3Rh2",
  "functional": "PBE-GGA",
  "state": "optimized geometry",
  "m_tot_mub_per_atom": 0.000,
  "n_ef_per_ev_cell": 4.8,
  "ef_ev_per_fu": -1.93,
  "cell": [[5.802, 0.000, 0.000], [2.901, 6.019, 0.122], [2.901, 1.850, 6.257]],
  "species": ["Sn", "Sn", "Sn", "Sn", "Sn", "Sn", "Rh", "Rh", "Rh", "Rh"],
  "fractional_positions": [[0.209, 0.596, 0.777], [0.582, 0.904, 0.723], [0.886, 0.250, 0.750], [0.114, 0.750, 0.250], [0.418, 0.096, 0.277], [0.791, 0.404, 0.223], [0.800, 0.857, 0.007], [0.664, 0.643, 0.493], [0.336, 0.357, 0.507], [0.200, 0.143, 0.993]]
}

***

{
  "formula": "SnRh",
  "functional": "PBE-GGA",
  "state": "optimized geometry",
  "m_tot_mub_per_atom": 0.000,
  "n_ef_per_ev_cell": 7.6,
  "ef_ev_per_fu": -0.72,
  "cell": [[-3.605, 1.069, 2.131], [-4.825, -1.572, -7.373], [-0.704, -5.727, 1.681]],
  "species": ["Sn", "Sn", "Sn", "Sn", "Sn", "Sn", "Rh", "Rh", "Rh", "Rh", "Rh", "Rh"],
  "fractional_positions": [[0.000, 0.317, 0.747], [0.000, 0.683, 0.747], [0.000, 0.817, 0.247], [0.000, 0.183, 0.247], [0.500, 0.000, 0.858], [0.500, 0.500, 0.358], [0.500, 0.776, 0.529], [0.500, 0.224, 0.529], [0.500, 0.276, 0.029], [0.500, 0.724, 0.029], [0.000, 0.000, 0.592], [0.000, 0.500, 0.092]]
}

***

{
  "formula": "SnRh",
  "functional": "PBE-GGA",
  "state": "optimized geometry",
  "m_tot_mub_per_atom": 0.000,
  "n_ef_per_ev_cell": 3.6,
  "ef_ev_per_fu": 0.30,
  "cell": [[5.933, 0.000, 0.000], [0.000, 5.933, 0.000], [0.000, 0.000, 5.933]],
  "species": ["Sn", "Sn", "Sn", "Sn", "Rh", "Rh", "Rh", "Rh"],
  "fractional_positions": [[0.000, 0.000, 0.000], [0.000, 0.500, 0.500], [0.500, 0.000, 0.500], [0.500, 0.500, 0.000], [0.250, 0.250, 0.250], [0.250, 0.750, 0.750], [0.750, 0.250, 0.750], [0.750, 0.750, 0.250]]
}

***

{
  "formula": "SnRh3",
  "functional": "PBE-GGA",
  "state": "optimized geometry",
  "m_tot_mub_per_atom": 0.002,
  "n_ef_per_ev_cell": 5.5,
  "ef_ev_per_fu": -1.04,
  "cell": [[-3.823, 2.780, -0.720], [-3.467, -1.624, 2.864], [4.529, 1.171, 0.990]],
  "species": ["Rh", "Rh", "Rh", "Sn"],
  "fractional_positions": [[0.750, 0.250, 0.500], [0.250, 0.750, 0.500], [0.500, 0.500, 0.000], [0.000, 0.000, 0.000]]
}

***

{
  "formula": "SnRh",
  "functional": "PBE-GGA",
  "state": "optimized geometry",
  "m_tot_mub_per_atom": 0.000,
  "n_ef_per_ev_cell": 0.9,
  "ef_ev_per_fu": -0.67,
  "cell": [[5.125, 0.004, 0.008], [-1.060, 3.112, 0.000], [-1.061, -2.096, 2.300]],
  "species": ["Rh", "Sn"],
  "fractional_positions": [[0.649, 0.713, 0.412], [0.149, 0.546, 0.579]]
}

***

{
  "formula": "SnRh",
  "functional": "PBE-GGA",
  "state": "optimized geometry",
  "m_tot_mub_per_atom": 0.000,
  "n_ef_per_ev_cell": 2.3,
  "ef_ev_per_fu": -0.72,
  "cell": [[3.742, 0.000, 0.000], [0.000, 3.742, 0.000], [0.000, 0.000, 10.514]],
  "species": ["Sn", "Sn", "Sn", "Sn", "Rh", "Rh", "Rh", "Rh"],
  "fractional_positions": [[0.000, 0.000, 0.581], [0.000, 0.500, 0.831], [0.500, 0.500, 0.081], [0.500, 0.000, 0.331], [0.000, 0.000, 0.144], [0.000, 0.500, 0.394], [0.500, 0.500, 0.644], [0.500, 0.000, 0.894]]
}

***

{
  "formula": "SnRh",
  "functional": "PBE-GGA",
  "state": "optimized geometry",
  "m_tot_mub_per_atom": 0.000,
  "n_ef_per_ev_cell": 3.7,
  "ef_ev_per_fu": -0.54,
  "cell": [[7.361, 0.000, 0.000], [-3.680, 6.375, 0.000], [0.000, 0.000, 5.114]],
  "species": ["Sn", "Sn", "Sn", "Sn", "Sn", "Sn", "Rh", "Rh", "Rh", "Rh", "Rh", "Rh"],
  "fractional_positions": [[0.912, 0.241, 0.250], [0.671, 0.912, 0.750], [0.759, 0.671, 0.250], [0.088, 0.759, 0.750], [0.329, 0.088, 0.250], [0.241, 0.329, 0.750], [0.550, 0.892, 0.250], [0.657, 0.550, 0.750], [0.108, 0.657, 0.250], [0.450, 0.108, 0.750], [0.343, 0.450, 0.250], [0.892, 0.343, 0.750]]
}